1.
NaCa2Zn2 | GGA-PBEsol | optimized geometry

Summary:
crystal system = tetragonal
calculated density = 2.93 g/cm3
formation energy from the elements = -0.11 eV/atom
symmetry = P4/mbm

Geometry as POSCAR:
```
NaCa2Zn2
1.0
4.185 0.000 0.000
0.000 7.953 0.000
0.000 0.000 7.953
Ca Zn Na
4 4 2
Cartesian
2.093 5.340 6.589
2.093 6.589 2.613
2.093 2.613 1.364
2.093 1.364 5.340
0.000 0.921 3.056
0.000 7.032 4.897
0.000 4.897 0.921
0.000 3.056 7.032
0.000 3.977 3.977
0.000 0.000 0.000
```



2.
NaCa2Zn2 | GGA-PBEsol | optimized geometry

Summary:
crystal system = tetragonal
calculated density = 2.66 g/cm3
formation energy from the elements = 0.04 eV/atom
symmetry = I4/mmm

Geometry as POSCAR:
```
NaCa2Zn2
1.0
3.718 0.000 0.000
0.000 3.718 0.000
-1.859 -1.859 10.552
Zn Ca Na
2 2 1
Cartesian
0.000 1.859 5.276
1.859 0.000 5.276
1.859 1.859 2.774
0.000 0.000 7.778
0.000 0.000 0.000
```



3.
CaNb2Ni2 | GGA-PBEsol | optimized geometry

Summary:
crystal system = tetragonal
calculated density = 6.39 g/cm3
formation energy from the elements = 0.11 eV/atom
symmetry = I4/mmm

Geometry as POSCAR:
```
CaNb2Ni2
1.0
4.015 0.000 0.000
0.000 4.015 0.000
-2.008 -2.008 5.529
Ni Nb Ca
2 2 1
Cartesian
2.008 2.008 1.163
0.000 0.000 4.365
0.000 2.008 2.764
2.008 0.000 2.764
0.000 0.000 0.000
```



4.
Ca2NbNi | GGA-PBEsol | optimized geometry

Summary:
crystal system = cubic
calculated density = 4.35 g/cm3
formation energy from the elements = 0.79 eV/atom
symmetry = Fm-3m

Geometry as POSCAR:
```
Ca2NbNi
1.0
5.002 0.000 0.000
2.501 4.332 0.000
2.501 1.444 4.084
Nb Ca Ni
1 2 1
Cartesian
5.002 2.888 2.042
7.503 4.332 3.063
2.501 1.444 1.021
0.000 0.000 0.000
```



5.
CaNb4O8 | GGA-PBEsol | optimized geometry

Summary:
E_form (uncorrected) = -59.3 kcal/mol of atoms
crystal system = orthorhombic
calculated density = 5.57 g/cm3
symmetry = Pmmn

Geometry as POSCAR:
```
CaNb4O8
1.0
7.153 0.000 0.000
0.000 10.321 0.000
0.000 0.000 13.081
O Nb Ca
48 24 6
Cartesian
0.000 3.565 11.497
3.577 8.726 1.584
3.577 8.605 4.921
5.727 1.348 3.462
4.979 3.774 0.199
1.335 1.453 10.012
0.000 6.756 11.497
5.733 8.958 6.380
5.003 6.509 9.619
4.997 6.524 6.701
2.151 6.509 9.619
2.241 6.614 3.069
0.000 6.901 4.944
2.241 3.708 3.069
4.912 6.614 3.069
2.175 3.774 0.199
4.912 3.708 3.069
5.727 8.973 3.462
3.577 1.795 11.460
5.818 1.453 10.012
1.402 1.386 12.882
5.752 8.935 12.882
3.577 1.716 4.921
3.577 1.740 8.137
5.733 1.364 6.380
3.577 8.527 11.460
2.175 6.547 0.199
1.420 8.958 6.380
0.000 6.955 1.621
1.420 1.364 6.380
1.335 8.869 10.012
1.426 1.348 3.462
4.997 3.797 6.701
0.000 6.877 8.160
0.000 3.366 1.621
5.752 1.386 12.882
0.000 3.445 8.160
2.151 3.812 9.619
5.003 3.812 9.619
2.156 6.524 6.701
4.979 6.547 0.199
0.000 3.421 4.944
3.577 8.581 8.137
2.156 3.797 6.701
3.577 1.595 1.584
1.402 8.935 12.882
1.426 8.973 3.462
5.818 8.869 10.012
5.512 8.068 8.198
5.530 2.238 1.642
1.623 8.083 1.642
0.000 0.000 9.538
1.641 8.068 8.198
3.577 5.161 3.543
3.577 5.161 6.173
5.218 2.908 4.883
1.623 2.238 1.642
5.530 8.083 1.642
5.218 7.414 4.883
1.935 7.414 4.883
5.512 2.253 8.198
0.000 0.000 6.908
1.935 2.908 4.883
3.577 5.161 12.778
1.954 7.399 11.438
5.200 2.923 11.438
1.641 2.253 8.198
3.577 5.161 10.164
0.000 0.000 2.917
0.000 0.000 0.303
1.954 2.923 11.438
5.200 7.399 11.438
0.000 5.161 0.268
3.577 0.000 3.312
3.577 0.000 12.813
0.000 5.161 6.479
3.577 0.000 6.602
0.000 5.161 9.769
```



6.
CaNb2O4 | GGA-PBEsol | optimized geometry

Summary:
E_form (uncorrected) = -62.1 kcal/mol of atoms
crystal system = orthorhombic
calculated density = 5.48 g/cm3
symmetry = Pbcm

Geometry as POSCAR:
```
CaNb2O4
1.0
-4.689 -1.587 1.068
-0.210 -2.827 -5.119
4.457 -9.692 5.169
Nb O Ca
8 16 4
Cartesian
-0.616 -8.609 4.779
-2.118 -5.624 -1.824
0.279 -4.084 -1.101
1.676 -8.482 2.942
-2.045 -4.140 0.698
0.384 -2.670 1.459
-0.721 -10.022 2.219
1.603 -9.965 0.420
1.464 -9.183 4.979
-4.145 -5.064 -2.050
-1.804 -3.536 -1.350
1.361 -10.569 2.468
2.765 -6.912 2.031
-1.907 -4.922 -3.860
-3.207 -7.194 -0.913
2.639 -8.369 -0.503
3.703 -9.041 3.168
0.249 -9.793 -1.259
-4.091 -3.631 0.501
-3.081 -5.736 1.622
3.648 -10.475 0.618
-0.692 -4.313 2.378
-0.795 -5.699 -0.133
0.352 -8.407 1.251
0.601 -7.415 -0.946
-1.484 -1.239 -0.927
1.042 -12.866 2.045
-1.043 -6.690 2.065
```



7.
Ca4Nb2O9 | GGA-PBEsol | optimized geometry

Summary:
E_form (uncorrected) = -67.5 kcal/mol of atoms
crystal system = triclinic
calculated density = 4.23 g/cm3
symmetry = P-1

Geometry as POSCAR:
```
Ca4Nb2O9
1.0
8.010 0.003 0.007
3.797 8.976 0.010
0.295 3.599 10.699
O Ca Nb
36 16 8
Cartesian
3.853 6.770 8.468
6.047 6.655 3.796
5.975 8.607 8.305
8.474 3.381 3.756
1.806 3.592 1.247
2.184 0.812 0.021
4.652 8.525 10.703
7.748 5.003 9.011
4.332 3.842 5.794
6.055 5.924 6.921
6.127 3.971 2.411
7.319 10.852 10.128
7.752 1.579 1.684
8.447 6.000 5.138
8.668 7.193 7.670
4.584 8.905 4.190
3.655 6.578 5.578
4.782 1.726 0.588
7.449 4.053 0.013
4.353 7.575 1.706
10.295 8.986 9.469
6.011 1.700 4.729
9.918 11.766 10.695
3.434 5.385 3.046
4.514 4.095 8.665
7.770 8.736 4.923
4.350 10.999 9.032
2.105 4.785 7.206
3.627 9.197 6.960
9.997 7.793 3.510
6.091 10.878 5.987
3.581 2.175 3.494
7.588 8.483 2.051
8.521 10.403 7.222
8.249 5.808 2.248
7.518 3.673 6.526
1.943 0.935 2.456
9.854 8.204 6.033
3.999 3.555 1.774
6.036 6.574 9.616
8.103 9.023 8.942
1.921 6.567 9.758
10.180 6.012 0.959
5.690 0.983 2.616
6.066 6.004 1.100
10.159 11.643 8.260
0.148 1.799 5.349
6.412 11.596 8.100
0.000 0.000 0.000
6.352 4.356 4.631
2.247 4.375 4.683
5.750 8.223 6.085
4.153 9.111 8.842
4.005 0.002 0.004
7.949 3.467 1.875
3.866 7.223 3.505
7.900 7.129 3.594
4.202 5.449 7.123
8.236 5.355 7.211
4.153 1.801 5.353
```



8.
Ca4Nb2O9 | GGA-PBEsol | optimized geometry

Summary:
E_form (uncorrected) = -67.5 kcal/mol of atoms
crystal system = triclinic
calculated density = 4.23 g/cm3
symmetry = P1

Geometry as POSCAR:
```
Ca4Nb2O9
1.0
-6.730 -2.672 -3.375
1.198 -2.481 -9.360
3.975 -10.581 -0.269
Nb O Ca
8 36 16
Cartesian
-0.463 -4.772 -8.952
-2.898 -5.651 -3.978
1.549 -9.972 -9.152
-1.856 -11.342 -10.744
0.566 -1.222 -4.540
2.458 -6.460 -4.821
-1.037 -10.978 -4.023
1.202 -13.042 -6.658
0.385 -14.619 -11.804
-0.211 -2.408 -3.266
-4.736 -3.221 -6.689
-2.479 -10.398 -9.213
-4.251 -6.300 -5.260
0.604 -3.413 -7.996
0.951 -5.533 -4.126
2.780 -7.612 -3.269
2.881 -9.488 -7.788
0.559 -12.151 -4.957
0.722 -11.455 -7.650
-0.691 -5.736 -7.258
-4.164 -4.400 -3.133
-1.528 -13.099 -9.800
1.004 -6.361 -1.162
0.352 -9.747 -3.315
-2.390 -9.867 -11.953
2.552 -11.541 -9.728
-2.261 -12.276 -4.869
-2.308 -4.201 -5.200
0.000 -10.780 -10.484
-1.643 -5.342 -2.494
0.231 -8.698 -8.495
-2.538 -9.965 -3.161
3.374 -10.318 -4.333
-1.729 -7.100 -4.657
-2.256 -3.551 -7.914
-1.927 -5.904 -9.695
-5.000 -5.255 -8.710
-1.005 -9.914 -5.680
1.051 -5.695 -9.655
3.046 -12.413 -6.263
-4.018 -8.176 -9.904
1.410 -7.795 -5.821
-2.796 -7.986 -7.494
-1.955 -1.116 -1.139
2.056 -7.022 -8.018
-2.605 -2.599 -2.769
-1.609 -8.185 -9.859
-0.162 -7.470 -3.110
-3.998 -6.062 -10.621
2.379 -9.655 -2.336
1.591 -10.025 -5.684
-1.730 -11.369 -7.227
-0.012 -4.190 -5.785
-0.730 -7.857 -6.562
0.376 -4.379 -2.210
-5.790 -3.940 -4.646
4.281 -11.759 -8.254
0.947 -13.155 -10.147
-3.142 -5.705 -7.317
-3.392 -8.697 -4.991
```



9.
CaNb4O8 | GGA-PBEsol | optimized geometry

Summary:
E_form (uncorrected) = -59.3 kcal/mol of atoms
crystal system = monoclinic
calculated density = 5.57 g/cm3
symmetry = Cm

Geometry as POSCAR:
```
CaNb4O8
1.0
-2.443 -1.157 -6.543
2.559 -6.565 0.687
-8.450 -2.222 4.184
Nb O Ca
12 24 3
Cartesian
-2.518 -1.581 -3.591
-6.419 -3.076 -1.046
0.300 -4.627 0.482
-5.483 -2.622 1.832
-4.124 -4.570 -3.776
-1.944 -6.927 -0.625
-1.205 -5.360 -3.175
-2.883 -7.350 -3.503
-7.151 -4.623 1.489
-4.256 -5.415 2.080
-8.621 -5.283 -2.162
-5.787 -8.347 1.934
-5.996 -6.263 1.533
-5.376 -8.396 0.010
-4.215 -2.424 -4.320
-3.311 -5.868 0.356
-4.689 -6.487 -3.665
-7.655 -5.136 3.409
-1.264 -3.395 0.774
-10.103 -4.182 -1.219
-2.920 -1.605 -1.620
-2.393 -3.707 -3.091
-1.054 -5.156 -1.154
-8.982 -3.702 1.491
-0.698 -4.762 -5.062
-7.401 -4.744 -0.498
-0.534 -6.405 1.002
-4.081 -7.511 2.632
-6.654 -7.910 3.766
0.648 -6.218 -3.116
-4.977 -4.066 -2.053
-3.293 -7.997 -1.646
-4.952 -2.067 -0.051
-7.765 -3.528 -2.694
-3.641 -3.484 1.843
-7.121 -6.509 -2.513
-3.154 -3.783 -0.648
-7.113 -8.480 -1.422
-1.073 -1.264 -0.203
```



10.
Ca2Nb2O | GGA-PBEsol | optimized geometry

Summary:
E_form (uncorrected) = 31.2 kcal/mol of atoms
crystal system = tetragonal
calculated density = 4.39 g/cm3
symmetry = I4/mmm

Geometry as POSCAR:
```
Ca2Nb2O
1.0
-0.501 3.122 1.933
-1.273 -1.978 2.865
8.108 -1.152 0.410
Ca Nb O
2 2 1
Cartesian
3.360 1.271 2.371
2.974 -1.279 2.837
6.210 -0.499 2.415
0.124 0.491 2.792
0.000 0.000 0.000
```



11.
RbCa2Nb3O10 | GGA-PBEsol | optimized geometry

Summary:
E_form (uncorrected) = -61.8 kcal/mol of atoms
crystal system = tetragonal
calculated density = 4.31 g/cm3
symmetry = P4/mmm

Geometry as POSCAR:
```
RbCa2Nb3O10
1.0
-3.714 -0.725 1.054
1.145 -3.330 1.741
2.194 7.497 12.893
O Nb Ca Rb
10 3 2 1
Cartesian
0.572 -1.665 0.871
-0.217 5.239 10.161
1.127 0.230 4.130
2.212 3.937 10.505
1.909 6.520 11.213
-1.302 1.532 3.786
0.879 3.004 5.167
0.286 0.977 1.680
-1.857 -0.363 0.527
1.315 4.493 7.726
0.618 2.111 3.630
0.000 0.000 0.000
1.577 5.386 9.263
-0.955 -0.901 3.335
0.580 4.343 12.354
-0.188 1.721 7.844
```



12.
Ca2ScNbO6 | GGA-PBEsol | optimized geometry

Summary:
E_form (uncorrected) = -72.2 kcal/mol of atoms
crystal system = monoclinic
calculated density = 4.29 g/cm3
symmetry = P2_1/c

Geometry as POSCAR:
```
Ca2ScNbO6
1.0
5.476 0.000 0.004
0.000 5.663 0.000
0.002 0.000 7.845
O Sc Nb Ca
12 2 2 4
Cartesian
1.678 4.483 7.407
4.922 5.460 5.843
4.351 3.946 0.407
3.865 1.114 3.522
2.182 3.035 1.918
4.415 4.011 3.486
1.064 1.652 4.363
3.801 1.179 0.443
0.557 0.203 2.006
1.128 1.717 7.442
3.296 2.628 5.931
1.614 4.549 4.328
2.739 2.831 3.925
0.000 0.000 0.000
2.738 2.831 0.002
0.001 0.000 3.923
2.815 5.360 1.977
2.664 0.303 5.873
0.078 3.134 5.897
5.401 2.528 1.952
```